Version one
Density functional theory data (PBE) for a relaxed NaZnNO crystal.

Cell: 4.493 8.715 4.486 Å, 90.00 90.00 90.00°
Space group Pca2_1 (No. 29)
Unique sites:
Na 0.001 0.115 0.000 x4
Zn 0.001 0.633 0.001 x4
N 0.001 0.410 0.002 x4
O 0.001 0.844 0.000 x4

Version two
Density functional theory data (PBE) for a relaxed NaZnNO crystal.

Cell: 5.992 6.485 4.861 Å, 90.00 90.00 90.00°
Space group Pca2_1 (No. 29)
Unique sites:
Na 0.113 0.157 0.000 x4
Zn 0.140 0.621 0.006 x4
N 0.247 0.852 0.258 x4
O 0.141 0.424 0.314 x4

Which one sits at the bottom of the stability order? version two does.

Version one
Density functional theory data (PBE) for a relaxed NbOsNO crystal.

Cell: 2.905 4.851 6.787 Å, 90.00 90.00 90.00°
Space group Pmc2_1 (No. 26)
Unique sites:
Nb 0.000 0.186 0.000 x2
Os 0.500 0.302 0.492 x2
N 0.000 0.162 0.309 x2
O 0.500 0.334 0.801 x2

## Properties
size of the total moment	0.00	μB/atom

Version two
Density functional theory data (PBE) for a relaxed NbOsNO crystal.

Cell: 3.806 3.806 6.270 Å, 90.00 90.00 90.00°
Space group P4/nmm (No. 129, origin choice 2)
Unique sites:
Nb 0.250 0.250 0.149 x2
Os 0.250 0.750 0.500 x2
N 0.250 0.250 0.670 x2
O 0.250 0.750 0.000 x2

## Properties
size of the total moment	0.00	μB/atom

Version three
Density functional theory data (PBE) for a relaxed NbOsNO crystal.

Cell: 4.179 4.179 4.966 Å, 90.00 90.00 90.00°
Space group P4/nmm (No. 129, origin choice 2)
Unique sites:
Nb 0.250 0.750 0.000 x2
Os 0.250 0.250 0.415 x2
N 0.250 0.250 0.853 x2
O 0.250 0.750 0.500 x2

## Properties
size of the total moment	0.00	μB/atom

Version four
Density functional theory data (PBE) for a relaxed NbOsNO crystal.

Cell: 3.574 6.152 5.025 Å, 90.00 90.00 90.00°
Space group Pmc2_1 (No. 26)
Unique sites:
Nb 0.000 0.220 0.000 x2
Os 0.500 0.448 0.506 x2
N 0.500 0.246 0.809 x2
O 0.000 0.092 0.340 x2

## Properties
size of the total moment	0.00	μB/atom

Which one sits at the bottom of the stability order? version three does.

Version one
Density functional theory data (PBE) for a relaxed PaNbNO crystal.

Cell: 3.733 3.733 8.383 Å, 90.00 90.00 90.00°
Space group P4/nmm (No. 129, origin choice 2)
Unique sites:
Pa 0.250 0.250 0.170 x2
Nb 0.250 0.750 0.500 x2
N 0.250 0.250 0.675 x2
O 0.250 0.750 0.000 x2

## Properties
size of the total moment	0.36	μB/atom

Version two
Density functional theory data (PBE) for a relaxed PaNbNO crystal.

Cell: 3.460 5.872 6.350 Å, 90.00 90.00 90.00°
Space group Pmc2_1 (No. 26)
Unique sites:
Pa 0.000 0.170 0.000 x2
Nb 0.500 0.323 0.458 x2
N 0.500 0.370 0.150 x2
O 0.000 0.188 0.646 x2

## Properties
size of the total moment	0.19	μB/atom

Version three
Density functional theory data (PBE) for a relaxed PaNbNO crystal.

Cell: 4.751 4.751 4.674 Å, 90.00 90.00 90.00°
Space group P4/nmm (No. 129, origin choice 2)
Unique sites:
Pa 0.250 0.750 0.000 x2
Nb 0.250 0.250 0.490 x2
N 0.250 0.250 0.990 x2
O 0.250 0.750 0.500 x2

## Properties
size of the total moment	0.00	μB/atom

Version four
Density functional theory data (PBE) for a relaxed PaNbNO crystal.

Cell: 3.392 3.392 4.644 Å, 90.00 90.00 90.00°
Space group P4/mmm (No. 123)
Unique sites:
Pa 0.000 0.000 0.000 x1
Nb 0.500 0.500 0.500 x1
N 0.500 0.500 0.000 x1
O 0.000 0.000 0.500 x1

## Properties
size of the total moment	0.00	μB/atom

Which one sits at the bottom of the stability order? version two does.

Version one
Density functional theory data (PBE) for a relaxed NbPbNO crystal.

Cell: 4.011 4.011 9.087 Å, 90.00 90.00 90.00°
Space group P4/nmm (No. 129, origin choice 2)
Unique sites:
Nb 0.250 0.750 0.000 x2
Pb 0.250 0.250 0.368 x2
N 0.250 0.250 0.929 x2
O 0.250 0.750 0.500 x2

## Properties
size of the total moment	0.00	μB/atom

Version two
Density functional theory data (PBE) for a relaxed NbPbNO crystal.

Cell: 3.619 7.302 6.017 Å, 90.00 90.00 90.00°
Space group Pmc2_1 (No. 26)
Unique sites:
Nb 0.000 0.143 0.000 x2
Pb 0.500 0.423 0.452 x2
N 0.000 0.059 0.300 x2
O 0.500 0.240 0.943 x2

## Properties
size of the total moment	0.00	μB/atom

Which one sits at the bottom of the stability order? version one does.

Version one
Density functional theory data (PBE) for a relaxed NbPbNO crystal.

Cell: 3.461 7.344 5.830 Å, 90.00 90.00 90.00°
Space group Pmc2_1 (No. 26)
Unique sites:
Nb 0.000 0.177 0.000 x2
Pb 0.500 0.360 0.487 x2
N 0.500 0.306 0.977 x2
O 0.000 0.003 0.253 x2

## Properties
size of the total moment	0.05	μB/atom

Version two
Density functional theory data (PBE) for a relaxed NbPbNO crystal.

Cell: 4.277 4.277 8.085 Å, 90.00 90.00 90.00°
Space group P4/nmm (No. 129, origin choice 2)
Unique sites:
Nb 0.250 0.250 0.048 x2
Pb 0.250 0.750 0.500 x2
N 0.250 0.250 0.266 x2
O 0.250 0.750 0.000 x2

## Properties
size of the total moment	0.00	μB/atom

Which one sits at the bottom of the stability order? version two does.

Version one
Density functional theory data (PBE) for a relaxed PmNbNO crystal.

Cell: 4.051 5.544 5.225 Å, 90.00 90.00 90.00°
Space group Pmc2_1 (No. 26)
Unique sites:
Pm 0.000 0.233 0.000 x2
Nb 0.500 0.293 0.501 x2
N 0.000 0.326 0.501 x2
O 0.500 0.005 0.758 x2

## Properties
size of the total moment	0.00	μB/atom

Version two
Density functional theory data (PBE) for a relaxed PmNbNO crystal.

Cell: 4.859 4.859 4.594 Å, 90.00 90.00 90.00°
Space group P4/nmm (No. 129, origin choice 2)
Unique sites:
Pm 0.250 0.750 0.000 x2
Nb 0.250 0.250 0.500 x2
N 0.250 0.250 0.002 x2
O 0.250 0.750 0.500 x2

## Properties
size of the total moment	0.01	μB/atom

Version three
Density functional theory data (PBE) for a relaxed PmNbNO crystal.

Cell: 3.823 6.922 4.653 Å, 90.00 90.00 90.00°
Space group Pmc2_1 (No. 26)
Unique sites:
Pm 0.000 0.169 0.000 x2
Nb 0.500 0.356 0.501 x2
N 0.500 0.357 0.001 x2
O 0.000 0.188 0.499 x2

## Properties
size of the total moment	0.00	μB/atom

Which one sits at the bottom of the stability order? version two does.

Version one
Density functional theory data (PBE) for a relaxed PrNbNO crystal.

Cell: 4.537 4.537 5.927 Å, 90.00 90.00 90.00°
Space group P4/nmm (No. 129, origin choice 2)
Unique sites:
Pr 0.250 0.750 0.000 x2
Nb 0.250 0.250 0.479 x2
N 0.250 0.250 0.156 x2
O 0.250 0.750 0.500 x2

## Properties
size of the total moment	0.07	μB/atom

Version two
Density functional theory data (PBE) for a relaxed PrNbNO crystal.

Cell: 6.754 7.790 4.751 Å, 90.00 90.00 90.00°
Space group Pca2_1 (No. 29)
Unique sites:
Pr 0.048 0.136 0.000 x4
Nb 0.106 0.622 0.999 x4
N 0.097 0.576 0.521 x4
O 0.095 0.160 0.499 x4

## Properties
size of the total moment	0.00	μB/atom

Version three
Density functional theory data (PBE) for a relaxed PrNbNO crystal.

Cell: 4.107 5.395 5.526 Å, 90.00 90.00 90.00°
Space group Pmc2_1 (No. 26)
Unique sites:
Pr 0.000 0.225 0.000 x2
Nb 0.500 0.269 0.502 x2
N 0.500 0.000 0.252 x2
O 0.000 0.300 0.503 x2

## Properties
size of the total moment	0.00	μB/atom

Which one sits at the bottom of the stability order? version one does.

Version one
Density functional theory data (PBE) for a relaxed PrNbNO crystal.

Cell: 4.071 5.580 5.308 Å, 90.00 90.00 90.00°
Space group Pmc2_1 (No. 26)
Unique sites:
Pr 0.000 0.233 0.000 x2
Nb 0.500 0.290 0.500 x2
N 0.000 0.321 0.501 x2
O 0.500 0.001 0.752 x2

## Properties
size of the total moment	0.00	μB/atom

Version two
Density functional theory data (PBE) for a relaxed PrNbNO crystal.

Cell: 4.066 4.066 8.474 Å, 90.00 90.00 90.00°
Space group P4/nmm (No. 129, origin choice 2)
Unique sites:
Pr 0.250 0.250 0.139 x2
Nb 0.250 0.750 0.500 x2
N 0.250 0.250 0.576 x2
O 0.250 0.750 0.000 x2

## Properties
size of the total moment	0.00	μB/atom

Which one sits at the bottom of the stability order? version one does.